# NiHg2F

NiHg2F after structural relaxation (PBE+U, the Alexandria database).

Cell lengths 7.027, 7.027, 5.889 Å; angles 53.37, 53.37, 90.00 degrees
Atoms (fractional coordinates):
Ni 0.750 0.250 0.500
Ni 0.000 0.000 0.000
F 0.500 0.500 0.000
F 0.250 0.750 0.500
Hg 0.875 0.866 0.750
Hg 0.134 0.625 0.250
Hg 0.616 0.125 0.250
Hg 0.375 0.384 0.750

- Mass density: 10.19 g/cm³
- E: -11.86 eV for the cell shown
- Space group: I-42d